A relaxed structure of ZrBRh4, computed with PBE-GGA. Values from VASP.

Cell and atoms, written as Quantum ESPRESSO input:
```
&SYSTEM
  ibrav = 0, nat = 6, ntyp = 3
/
ATOMIC_SPECIES
Rh 102.91 Rh.upf
Zr 91.22 Zr.upf
B 10.81 B.upf
CELL_PARAMETERS angstrom
-0.038 -2.421 2.874
3.198 1.490 1.298
-3.484 4.345 3.618
ATOMIC_POSITIONS angstrom
Rh 2.126 1.572 3.816
Rh 0.547 2.038 1.730
Rh 0.743 3.302 5.258
Rh -0.837 3.766 3.172
Zr -1.906 3.864 5.697
B 1.454 3.647 3.100
```

Values from the calculation:
- total magnetization (μB per atom) = 0.000
- space-group type = C2/m, No. 12
- energy of formation from the pure elements (eV per formula unit) = -0.92
- DFT total energy (eV per cell) = -45.56